*a*
The following is a GGA-PBE calculation of a geometry-optimized CoPdPbW structure, from OQMD via LeMat-Bulk.

## Properties
symmetry: F-43m
V: 260.6 Å³ per cell

Cell: 6.387 6.387 6.387 Å, 90.00 90.00 90.00°
Sites, in units of the cell vectors:
1 Co 0.000 0.000 0.000
2 Co 0.000 0.500 0.500
3 Co 0.500 0.000 0.500
4 Co 0.500 0.500 0.000
5 Pd 0.250 0.250 0.250
6 Pd 0.250 0.750 0.750
7 Pd 0.750 0.250 0.750
8 Pd 0.750 0.750 0.250
9 Pb 0.250 0.250 0.750
10 Pb 0.250 0.750 0.250
11 Pb 0.750 0.250 0.250
12 Pb 0.750 0.750 0.750
13 W 0.000 0.000 0.500
14 W 0.000 0.500 0.000
15 W 0.500 0.000 0.000
16 W 0.500 0.500 0.500


*b*
The following is a GGA-PBE calculation of a geometry-optimized CoPdPbW structure, from OQMD via LeMat-Bulk.

## Properties
symmetry: F-43m
V: 260.3 Å³ per cell

Cell: 6.385 6.385 6.385 Å, 90.00 90.00 90.00°
Sites, in units of the cell vectors:
1 Co 0.000 0.000 0.000
2 Co 0.000 0.500 0.500
3 Co 0.500 0.000 0.500
4 Co 0.500 0.500 0.000
5 Pd 0.000 0.000 0.500
6 Pd 0.000 0.500 0.000
7 Pd 0.500 0.000 0.000
8 Pd 0.500 0.500 0.500
9 Pb 0.250 0.250 0.750
10 Pb 0.250 0.750 0.250
11 Pb 0.750 0.250 0.250
12 Pb 0.750 0.750 0.750
13 W 0.250 0.250 0.250
14 W 0.250 0.750 0.750
15 W 0.750 0.250 0.750
16 W 0.750 0.750 0.250


Most stable structure - *b*; separation to the second - 62 meV per atom.


*a*
The following is a GGA-PBE calculation of a geometry-optimized ZrCoRePb structure, from OQMD via LeMat-Bulk.

## Properties
symmetry: F-43m
V: 279.6 Å³ per cell

Cell: 6.539 6.539 6.539 Å, 90.00 90.00 90.00°
Sites, in units of the cell vectors:
1 Zr 0.000 0.000 0.000
2 Zr 0.000 0.500 0.500
3 Zr 0.500 0.000 0.500
4 Zr 0.500 0.500 0.000
5 Co 0.250 0.250 0.750
6 Co 0.250 0.750 0.250
7 Co 0.750 0.250 0.250
8 Co 0.750 0.750 0.750
9 Re 0.250 0.250 0.250
10 Re 0.250 0.750 0.750
11 Re 0.750 0.250 0.750
12 Re 0.750 0.750 0.250
13 Pb 0.000 0.000 0.500
14 Pb 0.000 0.500 0.000
15 Pb 0.500 0.000 0.000
16 Pb 0.500 0.500 0.500


*b*
The following is a GGA-PBE calculation of a geometry-optimized ZrCoRePb structure, from OQMD via LeMat-Bulk.

## Properties
symmetry: F-43m
V: 285.2 Å³ per cell

Cell: 6.582 6.582 6.582 Å, 90.00 90.00 90.00°
Sites, in units of the cell vectors:
1 Zr 0.000 0.000 0.000
2 Zr 0.000 0.500 0.500
3 Zr 0.500 0.000 0.500
4 Zr 0.500 0.500 0.000
5 Co 0.000 0.000 0.500
6 Co 0.000 0.500 0.000
7 Co 0.500 0.000 0.000
8 Co 0.500 0.500 0.500
9 Re 0.250 0.250 0.750
10 Re 0.250 0.750 0.250
11 Re 0.750 0.250 0.250
12 Re 0.750 0.750 0.750
13 Pb 0.250 0.250 0.250
14 Pb 0.250 0.750 0.750
15 Pb 0.750 0.250 0.750
16 Pb 0.750 0.750 0.250


Most stable structure - *a*; separation to the second - 304 meV per atom.